Compound: ScU2Mn2
Source: Alexandria
Functional: PBE-GGA
Structure: optimized geometry

The structure in POSCAR format:
```
ScU2Mn2
1.0
-2.913 -4.482 0.747
3.388 1.854 -3.771
6.983 -2.618 6.067
U Mn Sc
4 4 2
Cartesian
2.670 -2.969 2.331 U
4.787 -2.277 0.713 U
-0.277 -2.550 -1.192 U
7.734 -2.696 4.236 U
5.853 -2.896 2.767 Mn
3.940 -0.001 -1.398 Mn
3.518 -5.245 4.442 Mn
1.604 -2.350 0.277 Mn
-0.379 -4.344 1.699 Sc
7.836 -0.902 1.345 Sc
```

Crystal system ... orthorhombic
Symmetry ... Fddd
Formation energy from the elements ... 0.330 eV/atom
DOS at the Fermi energy ... 19.060 states/eV/cell



Compound: Na2BeAg2F6
Source: Alexandria
Functional: PBE-GGA
Structure: optimized geometry

The structure in POSCAR format:
```
Na2BeAg2F6
1.0
-0.840 -2.139 -5.076
3.991 -2.002 3.334
-4.299 -3.353 2.524
Na F Ag Be
2 6 2 1
Cartesian
-1.359 -3.769 -0.975 Na
0.210 -3.725 1.757 Na
-0.368 -5.381 0.299 F
1.989 -4.512 0.536 F
-3.137 -2.983 0.245 F
-0.781 -2.114 0.483 F
-1.751 -2.944 2.659 F
0.603 -4.551 -1.877 F
-0.112 -2.118 -3.809 Ag
3.263 -2.023 2.066 Ag
-2.150 -1.677 1.262 Be
```

Crystal system ... monoclinic
Symmetry ... C2/m
Uncorrected formation energy ... -2.15 eV/atom
DOS at the Fermi energy ... 0.000 states/eV/cell



Compound: KLiTl2
Source: Alexandria
Functional: PBE-GGA
Structure: optimized geometry

The structure in POSCAR format:
```
KLiTl2
1.0
0.000 3.911 3.911
3.911 0.000 3.911
3.911 3.911 0.000
K Tl Li
1 2 1
Cartesian
3.911 3.911 3.911 K
1.955 1.955 1.955 Tl
5.866 5.866 5.866 Tl
0.000 0.000 0.000 Li
```

Crystal system ... cubic
Energy above the most stable polymorph in this dataset ... 126 meV/atom
Symmetry ... Fm-3m
Formation energy from the elements ... -0.008 eV/atom
DOS at the Fermi energy ... 2.681 states/eV/cell